# BaFe2F PBE+U optimized geometry
# energy relative to the lowest polymorph listed for this composition: 0.000 eV per atom
# E_tot: -3.6537 eV/atom
# crystal system: tetragonal
data_BaFe2F
_symmetry_space_group_name_H-M 'I 41/a m d'
_symmetry_Int_Tables_number 141
_cell_length_a 6.787
_cell_length_b 6.787
_cell_length_c 9.662
_cell_angle_alpha 90.00
_cell_angle_beta 90.00
_cell_angle_gamma 90.00
loop_
_symmetry_equiv_pos_as_xyz
'x,y,z'
'-x,-y,-z'
'-y+1/4,x+3/4,z+1/4'
'y+1/4,-x+3/4,-z+1/4'
'-x+1/2,-y,z+1/2'
'x+1/2,y,-z+1/2'
'y+1/4,-x+1/4,z+3/4'
'-y+1/4,x+1/4,-z+3/4'
'x,-y,-z'
'-x,y,z'
'-y+1/4,-x+1/4,-z+3/4'
'y+1/4,x+1/4,z+3/4'
'-x+1/2,y,-z+1/2'
'x+1/2,-y,z+1/2'
'y+1/4,x+3/4,-z+1/4'
'-y+1/4,-x+3/4,z+1/4'
'x+1/2,y+1/2,z+1/2'
'-x+1/2,-y+1/2,-z+1/2'
'-y+3/4,x+1/4,z+3/4'
'y+3/4,-x+1/4,-z+3/4'
'-x,-y+1/2,z'
'x,y+1/2,-z'
'y+3/4,-x+3/4,z+1/4'
'-y+3/4,x+3/4,-z+1/4'
'x+1/2,-y+1/2,-z+1/2'
'-x+1/2,y+1/2,z+1/2'
'-y+3/4,-x+3/4,-z+1/4'
'y+3/4,x+3/4,z+1/4'
'-x,y+1/2,-z'
'x,-y+1/2,z'
'y+3/4,x+1/4,-z+3/4'
'-y+3/4,-x+1/4,z+3/4'
loop_
_atom_site_label
_atom_site_fract_x
_atom_site_fract_y
_atom_site_fract_z
_atom_site_occupancy
Ba1 0.000 0.250 0.375 1
Fe1 0.000 0.000 0.000 1
F1 0.000 0.250 0.875 1